Record 1
VASP calculation (PBE-GGA) on a relaxed structure of Ho3In2BRu3.

Cell: 3.473 7.582 7.582 Å, 120.00 90.00 90.00°
Fractional coordinates of all 9 atoms:
In (0.500, 0.667, 0.333)
In (0.500, 0.333, 0.667)
Ru (0.500, 0.217, 0.217)
Ru (0.500, 0.783, 0.000)
Ru (0.500, 0.000, 0.783)
Ho (0.000, 0.658, 0.658)
Ho (0.000, 0.342, 0.000)
Ho (0.000, 0.000, 0.342)
B (0.000, 0.000, 0.000)

Summary:
* N(E_F): 4.97 states/eV per cell
* E: -6.3050 eV/atom
* E_form: -0.337 eV/atom
* density: 9.97 Mg/m³

Record 2
VASP calculation (PBE-GGA) on a relaxed structure of HoB2Ir2.

Cell: 3.991 3.991 6.621 Å, 107.54 107.54 90.00°
Fractional coordinates of all 5 atoms:
B (0.803, 0.803, 0.605)
B (0.197, 0.197, 0.395)
Ir (0.250, 0.750, 0.500)
Ir (0.750, 0.250, 0.500)
Ho (0.000, 0.000, 0.000)

Summary:
* N(E_F): 2.59 states/eV per cell
* E: -7.1409 eV/atom
* E_form: -0.010 eV/atom
* density: 9.94 Mg/m³

Record 3
VASP calculation (PBE-GGA) on a relaxed structure of HoB6Ir5.

Cell: 5.280 6.034 5.894 Å, 75.74 63.38 56.63°
Fractional coordinates of all 12 atoms:
B (0.478, 0.628, 0.610)
B (0.381, 0.183, 0.000)
B (0.913, 0.372, 0.610)
B (0.619, 0.817, 0.000)
B (0.087, 0.628, 0.390)
B (0.522, 0.372, 0.390)
Ir (0.500, 0.500, 0.000)
Ir (0.874, 0.500, 0.252)
Ir (0.305, 0.000, 0.391)
Ir (0.126, 0.500, 0.748)
Ir (0.695, 0.000, 0.609)
Ho (0.000, 0.000, 0.000)

Summary:
* N(E_F): 2.78 states/eV per cell
* E: -7.6773 eV/atom
* E_form: -0.265 eV/atom
* density: 14.10 Mg/m³

Record 4
VASP calculation (PBE-GGA) on a relaxed structure of HoB2Ir3.

Cell: 3.613 8.878 8.878 Å, 120.00 90.00 90.00°
Fractional coordinates of all 18 atoms:
Ir (0.500, 0.000, 0.500)
Ir (0.500, 0.500, 0.500)
Ir (0.000, 0.718, 0.718)
Ir (0.000, 0.282, 0.282)
Ir (0.000, 0.000, 0.718)
Ir (0.000, 0.000, 0.282)
Ir (0.500, 0.500, 0.000)
Ir (0.000, 0.282, 0.000)
Ir (0.000, 0.718, 0.000)
B (0.500, 0.620, 0.810)
B (0.500, 0.380, 0.190)
B (0.500, 0.810, 0.190)
B (0.500, 0.190, 0.810)
B (0.500, 0.810, 0.620)
B (0.500, 0.190, 0.380)
Ho (0.000, 0.333, 0.667)
Ho (0.500, 0.000, 0.000)
Ho (0.000, 0.667, 0.333)

Summary:
* N(E_F): 11.54 states/eV per cell
* E: -7.8023 eV/atom
* E_form: -0.383 eV/atom
* density: 15.42 Mg/m³

Record 5
VASP calculation (PBE-GGA) on a relaxed structure of HoB4Ir4.

Cell: 3.992 7.632 7.632 Å, 90.00 90.00 90.00°
Fractional coordinates of all 18 atoms:
B (0.888, 0.657, 0.223)
B (0.112, 0.777, 0.657)
B (0.112, 0.223, 0.343)
B (0.612, 0.843, 0.277)
B (0.388, 0.723, 0.843)
B (0.388, 0.277, 0.157)
B (0.612, 0.157, 0.723)
B (0.888, 0.343, 0.777)
Ir (0.614, 0.109, 0.340)
Ir (0.886, 0.391, 0.160)
Ir (0.386, 0.340, 0.891)
Ir (0.114, 0.160, 0.609)
Ir (0.386, 0.660, 0.109)
Ir (0.886, 0.609, 0.840)
Ir (0.114, 0.840, 0.391)
Ir (0.614, 0.891, 0.660)
Ho (0.500, 0.500, 0.500)
Ho (0.000, 0.000, 0.000)

Summary:
* N(E_F): 5.73 states/eV per cell
* E: -7.9614 eV/atom
* E_form: -0.547 eV/atom
* density: 13.95 Mg/m³
* excess energy over the best structure of this formula in the dataset: 0.0 meV per atom

Record 6
VASP calculation (PBE-GGA) on a relaxed structure of HoB3Ir6.

Cell: 5.468 5.468 6.136 Å, 90.00 116.46 120.00°
Fractional coordinates of all 10 atoms:
Ir (0.792, 0.398, 0.687)
Ir (0.161, 0.650, 0.244)
Ir (0.733, 0.083, 0.244)
Ir (0.289, 0.394, 0.687)
Ir (0.293, 0.895, 0.687)
Ir (0.594, 0.512, 0.244)
B (0.317, 0.658, 0.975)
B (0.651, 0.325, 0.976)
B (0.252, 0.126, 0.377)
Ho (0.918, 0.959, 0.878)

Summary:
* N(E_F): 5.55 states/eV per cell
* E: -8.1112 eV/atom
* E_form: -0.334 eV/atom
* density: 16.46 Mg/m³

Record 7
VASP calculation (PBE-GGA) on a relaxed structure of HoB4Ir12.

Cell: 6.773 6.773 6.773 Å, 109.47 109.47 109.47°
Fractional coordinates of all 17 atoms:
Ho (0.000, 0.000, 0.000)
Ir (0.678, 0.848, 0.170)
Ir (0.322, 0.492, 0.170)
Ir (0.170, 0.678, 0.848)
Ir (0.322, 0.152, 0.830)
Ir (0.508, 0.830, 0.678)
Ir (0.848, 0.170, 0.678)
Ir (0.170, 0.322, 0.492)
Ir (0.830, 0.322, 0.152)
Ir (0.492, 0.170, 0.322)
Ir (0.830, 0.678, 0.508)
Ir (0.152, 0.830, 0.322)
Ir (0.678, 0.508, 0.830)
B (0.500, 0.500, 0.500)
B (0.000, 0.000, 0.500)
B (0.500, 0.000, 0.000)
B (0.000, 0.500, 0.000)

Summary:
* N(E_F): 27.56 states/eV per cell
* E: -8.0004 eV/atom
* E_form: 0.095 eV/atom
* density: 17.46 Mg/m³

Record 8
VASP calculation (PBE-GGA) on a relaxed structure of Ho2B6Ir9.

Cell: 5.646 5.646 8.646 Å, 90.00 90.00 120.00°
Fractional coordinates of all 17 atoms:
Ir (0.500, 0.000, 0.836)
Ir (0.500, 0.500, 0.164)
Ir (0.500, 0.000, 0.500)
Ir (0.500, 0.000, 0.164)
Ir (0.000, 0.500, 0.164)
Ir (0.000, 0.500, 0.500)
Ir (0.500, 0.500, 0.836)
Ir (0.000, 0.500, 0.836)
Ir (0.500, 0.500, 0.500)
B (0.667, 0.333, 0.333)
B (0.333, 0.667, 0.333)
B (0.667, 0.333, 0.000)
B (0.667, 0.333, 0.667)
B (0.333, 0.667, 0.667)
B (0.333, 0.667, 0.000)
Ho (0.000, 0.000, 0.297)
Ho (0.000, 0.000, 0.703)

Summary:
* N(E_F): 3.31 states/eV per cell
* E: -8.1601 eV/atom
* E_form: -0.574 eV/atom
* density: 14.78 Mg/m³

What did the second record say?
VASP calculation (PBE-GGA) on a relaxed structure of HoB2Ir2.

Cell: 3.991 3.991 6.621 Å, 107.54 107.54 90.00°
Fractional coordinates of all 5 atoms:
B (0.803, 0.803, 0.605)
B (0.197, 0.197, 0.395)
Ir (0.250, 0.750, 0.500)
Ir (0.750, 0.250, 0.500)
Ho (0.000, 0.000, 0.000)

Summary:
* N(E_F): 2.59 states/eV per cell
* E: -7.1409 eV/atom
* E_form: -0.010 eV/atom
* density: 9.94 Mg/m³